(1)
VASP calculation (PBE) on a relaxed structure of Pr2Ni3AgAs4.

The structure in extended XYZ format:
```
10
Lattice="-0.552 1.200 -4.095 4.052 -1.149 -0.883 -3.049 -9.033 -2.236" Properties=species:S:1:pos:R:3 pbc="T T T"
Pr -1.013 -1.582 -2.588
Pr -0.287 -7.425 -2.138
Ni -1.525 -4.517 -1.118
Ni -2.987 -7.431 -4.036
Ni 1.688 -1.576 -0.690
Ag 0.225 -4.491 -3.607
As 1.750 0.026 -2.489
As 0.000 0.000 0.000
As -2.246 -5.236 -3.493
As 0.947 -3.771 -1.233
```

electronic total energy	-5.56	eV per atom

=====

(2)
VASP calculation (PBE) on a relaxed structure of NiAgAsPt.

The structure in extended XYZ format:
```
4
Lattice="-2.540 2.194 -2.901 -1.514 -2.061 -3.625 -4.313 -0.979 -0.357" Properties=species:S:1:pos:R:3 pbc="T T T"
Ni -2.092 -0.212 -1.721
As -4.183 -0.423 -3.442
Ag 0.000 0.000 0.000
Pt -6.275 -0.635 -5.163
```

electronic total energy	-4.74	eV per atom

=====

(3)
VASP calculation (PBE) on a relaxed structure of RbNiAgAs.

The structure in extended XYZ format:
```
8
Lattice="-2.159 2.613 -2.174 0.323 -2.407 -3.213 -10.725 -6.010 3.426" Properties=species:S:1:pos:R:3 pbc="T T T"
Rb -4.114 -1.379 -3.166
Rb -8.447 -4.425 1.205
Ni -1.539 1.358 -2.434
Ni -0.298 -1.152 -2.953
Ag -5.660 -4.157 -1.240
Ag -6.901 -1.647 -0.721
As -11.105 -5.297 -0.933
As -1.456 -0.507 -1.028
```

electronic total energy	-3.76	eV per atom

=====

(4)
VASP calculation (PBE) on a relaxed structure of NiAgAsSe2.

The structure in extended XYZ format:
```
5
Lattice="-1.515 -4.754 -0.999 0.866 -1.293 4.845 -4.591 1.222 1.147" Properties=species:S:1:pos:R:3 pbc="T T T"
Ni -2.620 -2.413 2.497
As -2.295 0.611 0.573
Se 0.433 -0.647 2.422
Se -0.757 -2.377 -0.499
Ag 0.000 0.000 0.000
```

energy relative to the lowest polymorph listed for this composition	770	meV per atom
ΔE_f (raw)	5.7	eV per formula unit

=====

(5)
VASP calculation (PBE) on a relaxed structure of NiAgAs2Se.

The structure in extended XYZ format:
```
5
Lattice="4.945 0.000 0.000 0.000 4.945 0.000 0.000 0.000 5.072" Properties=species:S:1:pos:R:3 pbc="T T T"
Ni 2.472 2.472 2.536
As 0.000 2.472 0.000
As 2.472 0.000 0.000
Se 0.000 0.000 2.536
Ag 0.000 0.000 0.000
```

energy relative to the lowest polymorph listed for this composition	806	meV per atom
ΔE_f (raw)	6.1	eV per formula unit

=====

(6)
VASP calculation (PBE) on a relaxed structure of NiAgAsSe2.

The structure in extended XYZ format:
```
5
Lattice="4.952 0.000 0.000 0.000 4.952 0.000 0.000 0.000 4.367" Properties=species:S:1:pos:R:3 pbc="T T T"
Ni 0.000 0.000 0.000
As 0.000 0.000 2.183
Se 0.000 2.476 0.000
Se 2.476 0.000 0.000
Ag 2.476 2.476 2.183
```

energy relative to the lowest polymorph listed for this composition	0	meV per atom
ΔE_f (raw)	1.9	eV per formula unit

=====

(7)
VASP calculation (PBE) on a relaxed structure of NiAgAs2Se.

The structure in extended XYZ format:
```
5
Lattice="4.532 0.000 0.000 0.000 4.532 0.000 0.000 0.000 5.103" Properties=species:S:1:pos:R:3 pbc="T T T"
Ni 0.000 0.000 0.000
As 0.000 2.266 0.000
As 2.266 0.000 0.000
Se 0.000 0.000 2.552
Ag 2.266 2.266 2.552
```

energy relative to the lowest polymorph listed for this composition	0	meV per atom
ΔE_f (raw)	2.1	eV per formula unit

=====

(8)
VASP calculation (PBE) on a relaxed structure of SiNiAgAs2.

The structure in extended XYZ format:
```
5
Lattice="-4.496 -0.001 -0.326 -0.160 -4.383 2.220 -0.291 2.041 4.008" Properties=species:S:1:pos:R:3 pbc="T T T"
Ni 0.000 0.000 0.000
As -0.145 1.020 2.004
As -2.248 -0.001 -0.163
Si -2.473 -1.172 2.951
Ag -0.080 -2.192 1.110
```

ΔE_f (raw)	3.0	eV per formula unit

=====

(9)
VASP calculation (PBE) on a relaxed structure of Sr2Ni3AgAs4.

The structure in extended XYZ format:
```
10
Lattice="4.334 0.000 0.000 0.000 4.334 0.000 0.000 0.000 9.982" Properties=species:S:1:pos:R:3 pbc="T T T"
Sr 2.167 0.000 2.437
Sr 0.000 2.167 7.545
Ni 0.000 0.000 4.991
Ni 2.167 0.000 8.873
Ni 0.000 2.167 1.109
Ag 2.167 2.167 4.991
As 2.167 2.167 0.000
As 0.000 0.000 0.000
As 2.167 0.000 6.467
As 0.000 2.167 3.515
```

electronic total energy	-4.81	eV per atom

=====

(10)
VASP calculation (PBE) on a relaxed structure of Tl2NiAgAs.

The structure in extended XYZ format:
```
5
Lattice="5.270 0.000 0.000 0.000 4.469 0.000 0.000 0.000 5.270" Properties=species:S:1:pos:R:3 pbc="T T T"
Ni 0.000 0.000 0.000
Tl 0.000 0.000 2.635
Tl 2.635 0.000 0.000
As 0.000 2.234 0.000
Ag 2.635 2.234 2.635
```

electronic total energy	-3.33	eV per atom

=====

(11)
VASP calculation (PBE) on a relaxed structure of NpAgAsO5.

The structure in extended XYZ format:
```
16
Lattice="-5.023 2.911 -1.859 -1.654 -5.607 -1.728 0.073 0.155 8.195" Properties=species:S:1:pos:R:3 pbc="T T T"
Np 0.036 0.077 4.098
Np 0.000 0.000 0.000
Ag -2.686 -2.912 0.280
Ag -3.918 0.371 4.328
As -3.846 0.020 0.235
As -2.758 -2.560 4.373
O -1.864 -4.992 0.312
O -4.740 2.451 4.296
O -4.514 0.792 -1.156
O -2.090 -3.333 5.763
O -3.901 1.077 1.597
O -2.703 -3.618 3.011
O -4.655 -1.471 0.581
O -1.949 -1.070 4.027
O -2.232 -0.523 -0.081
O -4.372 -2.018 4.688
```

ΔE_f (raw)	-13.5	eV per formula unit

=====

(12)
VASP calculation (PBE) on a relaxed structure of NpAgAsO6.

The structure in extended XYZ format:
```
18
Lattice="5.324 0.000 0.000 -2.662 4.610 0.000 0.000 0.000 10.204" Properties=species:S:1:pos:R:3 pbc="T T T"
Np 2.662 1.537 2.551
Np 0.000 3.074 7.653
Ag 0.000 0.000 0.000
Ag 0.000 0.000 5.102
As 0.000 3.074 2.551
As 2.662 1.537 7.653
O 1.558 2.989 1.495
O -0.852 1.767 1.495
O 1.956 0.146 6.597
O 3.514 2.844 8.710
O 0.852 1.767 3.608
O -1.558 2.989 3.608
O 3.368 0.146 8.710
O 0.706 4.465 3.608
O 4.219 1.621 6.597
O -0.706 4.465 1.495
O 1.810 2.844 6.597
O 1.104 1.621 8.710
```

ΔE_f (raw)	-13.9	eV per formula unit

=====

(13)
VASP calculation (PBE) on a relaxed structure of NpAg2AsO6.

The structure in extended XYZ format:
```
10
Lattice="-3.287 4.401 -0.854 -3.976 -3.406 -2.250 2.051 -1.010 5.120" Properties=species:S:1:pos:R:3 pbc="T T T"
Np -1.988 -1.703 -1.125
Ag -0.763 -0.287 1.781
Ag -4.449 0.271 0.234
As -1.644 2.200 -0.427
O -3.117 -1.590 0.699
O 0.386 -0.580 4.037
O -3.481 2.378 -0.824
O -1.730 -2.393 2.839
O -5.598 0.565 -2.022
O -2.095 1.575 1.317
```

ΔE_f (raw)	-13.8	eV per formula unit

=====

(14)
VASP calculation (PBE) on a relaxed structure of AgAsO3.

The structure in extended XYZ format:
```
5
Lattice="4.034 0.000 0.000 0.000 4.034 0.000 0.000 0.000 4.034" Properties=species:S:1:pos:R:3 pbc="T T T"
Ag 0.000 0.000 0.000
As 2.017 2.017 2.017
O 0.000 2.017 0.000
O 0.000 0.000 2.017
O 2.017 0.000 0.000
```

ΔE_f (raw)	2.5	eV per formula unit

=====

(15)
VASP calculation (PBE) on a relaxed structure of Ag3AsO6.

The structure in extended XYZ format:
```
10
Lattice="-1.227 4.918 1.705 -2.100 3.560 -3.394 -5.873 1.205 0.684" Properties=species:S:1:pos:R:3 pbc="T T T"
Ag -6.526 4.187 0.002
Ag -2.554 5.538 -1.038
Ag -3.555 1.994 0.077
As -5.629 7.695 -1.086
O -4.115 7.032 -0.254
O -3.890 4.547 -2.625
O -2.843 3.950 0.599
O -5.218 2.644 -1.067
O -5.223 4.838 1.766
O -6.445 5.994 -1.398
```

ΔE_f (raw)	-3.5	eV per formula unit

=====

(16)
VASP calculation (PBE) on a relaxed structure of Ag3AsO4.

The structure in extended XYZ format:
```
8
Lattice="4.862 0.000 2.718 2.438 5.208 1.346 -0.087 -0.693 5.865" Properties=species:S:1:pos:R:3 pbc="T T T"
As 3.562 2.154 5.043
O 2.713 2.230 6.562
O 3.709 0.439 4.780
O 2.615 2.855 3.810
O 5.109 2.855 5.204
Ag 5.423 3.807 7.422
Ag 2.165 4.570 1.835
Ag 2.005 1.211 2.121
```

energy relative to the lowest polymorph listed for this composition	133	meV per atom
ΔE_f (raw)	-3.8	eV per formula unit

=====

(17)
VASP calculation (PBE) on a relaxed structure of AgAs2O.

The structure in extended XYZ format:
```
4
Lattice="-0.541 -4.416 0.096 -2.911 -1.945 -2.747 1.459 -2.494 -3.384" Properties=species:S:1:pos:R:3 pbc="T T T"
As -0.498 -2.214 -1.509
As -1.494 -6.642 -4.526
O 0.000 0.000 0.000
Ag -0.996 -4.428 -3.017
```

energy relative to the lowest polymorph listed for this composition	438	meV per atom
ΔE_f (raw)	1.9	eV per formula unit

=====

(18)
VASP calculation (PBE) on a relaxed structure of Ag3AsO4.

The structure in extended XYZ format:
```
16
Lattice="-1.350 -4.975 3.540 3.098 -3.643 -4.029 5.253 0.956 3.255" Properties=species:S:1:pos:R:3 pbc="T T T"
Ag 1.695 -3.077 4.127
Ag 5.281 -1.178 0.312
Ag 1.555 -5.081 -1.068
Ag 2.378 -0.573 2.385
Ag -0.019 -3.282 0.947
Ag 2.672 -1.650 -1.344
As 3.509 -3.840 1.386
As 0.008 -0.009 0.003
O 3.573 -3.994 3.123
O 3.024 -5.369 0.702
O 2.385 -2.610 0.942
O 5.101 -3.437 0.797
O 5.886 -6.441 2.325
O 4.665 -0.616 2.763
O 3.336 -3.657 -2.296
O 0.196 -4.696 2.771
```

energy relative to the lowest polymorph listed for this composition	0	meV per atom
ΔE_f (raw)	-4.9	eV per formula unit

=====

(19)
VASP calculation (PBE) on a relaxed structure of AgAs2O.

The structure in extended XYZ format:
```
8
Lattice="-2.523 0.142 3.937 2.366 -3.683 1.649 4.568 2.479 5.618" Properties=species:S:1:pos:R:3 pbc="T T T"
As 0.154 0.231 3.614
As 2.013 -1.648 3.385
As 3.642 0.103 6.500
As 3.014 -0.812 8.910
O -0.078 -1.771 2.793
O 3.428 -1.488 5.030
Ag 0.000 0.000 0.000
Ag 0.983 0.425 6.174
```

energy relative to the lowest polymorph listed for this composition	0	meV per atom
ΔE_f (raw)	0.2	eV per formula unit

=====

(20)
VASP calculation (PBE) on a relaxed structure of Ag2As3O8.

The structure in extended XYZ format:
```
13
Lattice="-4.578 -0.451 -1.909 2.344 -0.278 -5.555 0.620 -5.360 3.809" Properties=species:S:1:pos:R:3 pbc="T T T"
Ag -0.981 -2.920 -3.547
Ag -0.632 -3.169 -0.108
As -2.289 -0.225 -0.955
As 0.625 -0.074 -1.482
As 1.719 -0.204 -4.073
O 1.187 -4.468 0.724
O -2.800 -1.621 -4.380
O 2.071 -4.683 -2.171
O -3.684 -1.405 -1.484
O 0.433 -1.367 -4.872
O -0.885 -1.210 -1.749
O -0.728 -4.878 -1.907
O -2.046 -4.722 1.216
```

ΔE_f (raw)	-10.5	eV per formula unit

=====

(21)
VASP calculation (PBE) on a relaxed structure of Ag2As2O7.

The structure in extended XYZ format:
```
44
Lattice="6.307 0.049 0.000 -2.222 7.049 0.000 0.000 0.000 13.529" Properties=species:S:1:pos:R:3 pbc="T T T"
Ag 1.362 4.055 3.225
Ag 5.626 0.556 3.539
Ag 2.723 3.043 10.303
Ag -1.541 6.543 9.990
Ag 0.902 2.327 13.182
Ag 2.945 5.876 7.111
Ag 3.183 4.772 0.347
Ag 1.141 1.223 6.418
As 2.487 0.442 2.700
As 4.530 3.991 4.065
As 1.598 6.657 10.829
As -0.444 3.108 9.464
As 0.217 5.784 0.066
As 4.481 2.284 6.698
As 3.868 1.314 13.463
As -0.396 4.814 6.830
O 2.201 0.485 12.931
O 4.244 4.034 7.362
O 1.884 6.614 0.597
O -0.159 3.064 6.167
O -1.282 5.111 12.998
O 2.983 1.612 7.295
O 5.367 1.987 0.530
O 1.103 5.487 6.234
O 1.099 4.260 0.701
O 5.363 0.760 6.064
O 2.986 2.839 12.828
O -1.278 6.339 7.465
O -0.560 6.256 1.748
O 3.704 2.757 5.016
O 4.645 0.842 11.781
O 0.381 4.342 8.513
O 3.056 1.742 1.668
O -1.208 5.242 5.096
O 1.029 5.357 11.860
O 5.293 1.857 8.433
O 1.498 6.715 3.589
O -0.544 3.166 3.176
O 2.587 0.383 9.940
O 4.629 3.933 10.353
O 1.324 1.191 3.717
O 3.367 4.740 3.047
O 2.761 5.907 9.811
O 0.719 2.358 10.482
```

energy relative to the lowest polymorph listed for this composition	50	meV per atom
ΔE_f (raw)	-7.4	eV per formula unit

=====

(22)
VASP calculation (PBE) on a relaxed structure of Ag2AsO4.

The structure in extended XYZ format:
```
7
Lattice="-3.578 -4.061 -2.617 4.673 -2.085 -3.154 0.081 1.063 5.145" Properties=species:S:1:pos:R:3 pbc="T T T"
Ag 2.337 -1.043 -1.577
Ag -1.789 -2.030 -1.308
As 0.000 0.000 0.000
O 1.072 -5.597 -4.121
O 0.368 -1.649 -0.414
O -2.194 -2.094 1.814
O 3.107 -0.825 1.469
```

energy relative to the lowest polymorph listed for this composition	0	meV per atom
ΔE_f (raw)	-3.8	eV per formula unit